Entry 1:
Material: CsHgSe
Method: DFT, GGA-PBE
State: relaxed

The space group is Cm (No. 8) and the conventional cell measures 12.2692, 5.4074 and 8.6174 Å, with angles of 90.00, 108.16 and 90.00 degrees. Symmetry generates all atoms from Cs at (0.0000, 0.0000, 0.0000), Cs at (0.1999, 0.0000, 0.6561), Hg at (0.2196, 0.5000, 0.2996), Hg at (0.4221, 0.0000, 0.3919), Se at (0.0098, 0.5000, 0.6915) and Se at (0.3224, 0.0000, 0.0947).

As for the polymorph energy (0 for the lowest one): 0.000 eV per atom. The magnetization comes out at 0.000 μB/cell. As for the energy relative to the elements, uncorrected: -0.706 eV per atom.


Entry 2:
Material: CsHgSe2
Method: DFT, GGA-PBE
State: relaxed

The space group is R-3m (No. 166, hexagonal axes) and the conventional cell measures 6.6464, 6.6464 and 12.3663 Å, with angles of 90.00, 90.00 and 120.00 degrees. Symmetry generates all atoms from Cs at (0.0000, 0.0000, 0.0000), Hg at (0.0000, 0.0000, 0.5000) and Se at (0.0000, 0.0000, 0.3013).

The magnetization comes out at 3.124 μB/cell. As for the energy relative to the elements, uncorrected: -0.400 eV per atom.


Entry 3:
Material: CsHgSe
Method: DFT, GGA-PBE
State: relaxed

The space group is Cm (No. 8) and the conventional cell measures 12.7712, 5.2973 and 8.3942 Å, with angles of 90.00, 106.56 and 90.00 degrees. Symmetry generates all atoms from Cs at (0.0000, 0.0000, 0.0000), Cs at (0.1954, 0.5000, 0.7100), Hg at (0.0012, 0.0000, 0.4569), Hg at (0.3385, 0.0000, 0.3486), Se at (0.2976, 0.0000, 0.0425) and Se at (0.3879, 0.0000, 0.6588).

As for the polymorph energy (0 for the lowest one): 0.014 eV per atom. The magnetization comes out at 0.003 μB/cell. As for the energy relative to the elements, uncorrected: -0.692 eV per atom.


Entry 4:
Material: CsHgSe
Method: DFT, GGA-PBE
State: relaxed

The space group is I4mm (No. 107) and the conventional cell measures 5.1231, 5.1231 and 9.9927 Å, with angles of 90.00, 90.00 and 90.00 degrees. Symmetry generates all atoms from Cs at (0.0000, 0.0000, 0.0000), Hg at (0.0000, 0.0000, 0.3577) and Se at (0.0000, 0.0000, 0.6257).

As for the polymorph energy (0 for the lowest one): 0.365 eV per atom. The magnetization comes out at 1.407 μB/cell. As for the energy relative to the elements, uncorrected: -0.341 eV per atom.


Entry 5:
Material: Cs3HgSe
Method: DFT, GGA-PBE
State: relaxed

The space group is C2/m (No. 12) and the conventional cell measures 18.2636, 5.0091 and 11.6185 Å, with angles of 90.00, 93.78 and 90.00 degrees. Symmetry generates all atoms from Cs at (0.0534, 0.0000, 0.1379), Cs at (0.0930, 0.5000, 0.6274), Cs at (0.2372, 0.0000, 0.8523), Hg at (0.2077, 0.0000, 0.4502) and Se at (0.1108, 0.5000, 0.9239).

As for the polymorph energy (0 for the lowest one): 0.000 eV per atom. The magnetization comes out at 0.000 μB/cell. As for the energy relative to the elements, uncorrected: -0.650 eV per atom.


Entry 6:
Material: CsHgSe
Method: DFT, GGA-PBE
State: relaxed

The space group is C2 (No. 5) and the conventional cell measures 9.6021, 7.4845 and 7.4763 Å, with angles of 90.00, 104.23 and 90.00 degrees. Symmetry generates all atoms from Cs at (0.1553, 0.0000, 0.2468), Hg at (0.0000, 0.3389, 0.5000), Hg at (0.0000, 0.5033, 0.0000) and Se at (0.2424, 0.5077, 0.2155).

As for the polymorph energy (0 for the lowest one): 0.031 eV per atom. The magnetization comes out at 0.000 μB/cell. As for the energy relative to the elements, uncorrected: -0.675 eV per atom.


Entry 7:
Material: CsHgSe
Method: DFT, GGA-PBE
State: relaxed

The space group is P-1 (No. 2) and the conventional cell measures 5.0731, 6.8540 and 8.0345 Å, with angles of 79.79, 71.67 and 68.34 degrees. Symmetry generates all atoms from Cs at (0.0562, 0.1986, 0.1897), Hg at (0.3155, 0.2650, 0.6023) and Se at (0.3844, 0.6034, 0.1286).

As for the polymorph energy (0 for the lowest one): 0.083 eV per atom. The magnetization comes out at 0.000 μB/cell. As for the energy relative to the elements, uncorrected: -0.623 eV per atom.


Entry 8:
Material: CsHgSe2
Method: DFT, GGA-PBE
State: relaxed

The space group is R-3m (No. 166, hexagonal axes) and the conventional cell measures 4.2191, 4.2191 and 28.8657 Å, with angles of 90.00, 90.00 and 120.00 degrees. Symmetry generates all atoms from Cs at (0.0000, 0.0000, 0.0000), Hg at (0.0000, 0.0000, 0.5000) and Se at (0.0000, 0.0000, 0.1154).

The magnetization comes out at 0.000 μB/cell. As for the energy relative to the elements, uncorrected: -0.085 eV per atom.


Entry 9:
Material: Cs2Hg2Se3
Method: DFT, GGA-PBE
State: relaxed

The space group is I2_13 (No. 199) and the conventional cell measures 11.3288, 11.3288 and 11.3288 Å, with angles of 90.00, 90.00 and 90.00 degrees. Symmetry generates all atoms from Cs at (0.2490, 0.2490, 0.2490), Hg at (0.0648, 0.0648, 0.0648) and Se at (0.0000, 0.2500, 0.9401).

As for the polymorph energy (0 for the lowest one): 0.008 eV per atom. The magnetization comes out at 0.000 μB/cell. As for the energy relative to the elements, uncorrected: -0.650 eV per atom.


Entry 10:
Material: Cs2Hg2Se3
Method: DFT, GGA-PBE
State: relaxed

The space group is C2/m (No. 12) and the conventional cell measures 15.4712, 4.5723 and 9.2465 Å, with angles of 90.00, 126.63 and 90.00 degrees. Symmetry generates all atoms from Cs at (0.0536, 0.0000, 0.2751), Hg at (0.1997, 0.5000, 0.8076), Se at (0.0000, 0.5000, 0.5000) and Se at (0.1821, 0.5000, 0.1065).

As for the polymorph energy (0 for the lowest one): 0.000 eV per atom. The magnetization comes out at 0.000 μB/cell. As for the energy relative to the elements, uncorrected: -0.658 eV per atom.


Entry 11:
Material: Cs8Hg2Se
Method: DFT, GGA-PBE
State: relaxed

The space group is C2/m (No. 12) and the conventional cell measures 28.5649, 5.4601 and 10.7486 Å, with angles of 90.00, 93.39 and 90.00 degrees. Symmetry generates all atoms from Cs at (0.0043, 0.0000, 0.2061), Cs at (0.1012, 0.5000, 0.5167), Cs at (0.1228, 0.5000, 0.0301), Cs at (0.2358, 0.0000, 0.6972), Hg at (0.1629, 0.0000, 0.3201) and Se at (0.0000, 0.5000, 0.0000).

The magnetization comes out at 0.000 μB/cell. As for the energy relative to the elements, uncorrected: -0.350 eV per atom.


Entry 12:
Material: CsHg2Se3
Method: DFT, GGA-PBE
State: relaxed

The space group is Pmc2_1 (No. 26) and the conventional cell measures 3.9220, 12.9296 and 8.3192 Å, with angles of 90.00, 90.00 and 90.00 degrees. Symmetry generates all atoms from Cs at (0.0000, 0.1697, 0.0000), Hg at (0.0000, 0.1599, 0.4677), Hg at (0.5000, 0.4457, 0.4840), Se at (0.0000, 0.3213, 0.6373), Se at (0.5000, 0.0537, 0.3361) and Se at (0.5000, 0.3944, 0.1788).

As for the polymorph energy (0 for the lowest one): 0.000 eV per atom. The magnetization comes out at 0.000 μB/cell. As for the energy relative to the elements, uncorrected: -0.344 eV per atom.